An optimized crystal structure of ZrCuSn2. Source: the Alexandria database, functional PBE.

Structure (POSCAR):
```
ZrCuSn2
1.0
4.1095 0.0000 0.0000
0.0000 4.4579 0.0000
0.0000 0.0000 4.4579
Cu Sn Zr
1 2 1
Direct
0.5000 0.0000 0.0000 Cu
0.0000 0.5000 0.0000 Sn
0.0000 0.0000 0.5000 Sn
0.5000 0.5000 0.5000 Zr
```


An optimized crystal structure of RbBa3Ga. Source: the Alexandria database, functional PBE.

For the excess energy over the best structure of this formula in the dataset, the calculation gives 4.48 eV/f.u.

Structure (POSCAR):
```
RbBa3Ga
1.0
6.6887 0.0000 0.0000
0.0000 6.6887 0.0000
0.0000 0.0000 6.6887
Ba Rb Ga
3 1 1
Direct
0.5000 0.0000 0.0000 Ba
0.0000 0.0000 0.5000 Ba
0.0000 0.5000 0.0000 Ba
0.0000 0.0000 0.0000 Rb
0.5000 0.5000 0.5000 Ga
```


An optimized crystal structure of Si3Hg. Source: the Alexandria database, functional PBE.

For the excess energy over the best structure of this formula in the dataset, the calculation gives 0.60 eV/f.u. For the formation energy without anion corrections, the calculation gives 0.552 eV/atom.

Structure (POSCAR):
```
Si3Hg
1.0
3.9686 -4.7490 0.0000
3.9686 4.7490 0.0000
0.0000 0.0000 4.2093
Si Hg
6 2
Direct
0.7607 0.9098 0.7500 Si
0.0902 0.2393 0.7500 Si
0.8330 0.1670 0.2500 Si
0.1670 0.8330 0.7500 Si
0.9098 0.7607 0.2500 Si
0.2393 0.0902 0.2500 Si
0.3855 0.6145 0.2500 Hg
0.6145 0.3855 0.7500 Hg
```


An optimized crystal structure of CuTeW. Source: the Alexandria database, functional PBE.

For the excess energy over the best structure of this formula in the dataset, the calculation gives 1.41 eV/f.u. For the formation energy without anion corrections, the calculation gives 1.016 eV/atom.

Structure (POSCAR):
```
CuTeW
1.0
-0.8408 -0.5107 4.2615
-2.8922 -3.0064 1.3134
1.3729 -3.5912 2.0848
Cu W Te
1 1 1
Direct
0.5000 0.5000 0.5000 Cu
0.0000 0.0000 0.0000 W
0.7500 0.7500 0.7500 Te
```


An optimized crystal structure of LiHg2Se. Source: the Alexandria database, functional PBE.

For the formation energy without anion corrections, the calculation gives -0.252 eV/atom.

Structure (POSCAR):
```
LiHg2Se
1.0
4.1534 0.0000 0.0000
0.0000 4.1556 0.0000
0.0000 0.0000 5.4404
Li Se Hg
1 1 2
Direct
0.5000 0.5000 0.2500 Li
0.5000 0.5000 0.7500 Se
0.0000 0.0000 0.5002 Hg
0.0000 0.0000 0.9998 Hg
```


An optimized crystal structure of LaIn2P2. Source: the Alexandria database, functional PBE.

For the excess energy over the best structure of this formula in the dataset, the calculation gives 0.76 eV/f.u.

Structure (POSCAR):
```
LaIn2P2
1.0
7.6879 0.0000 0.0000
0.0000 7.6879 0.0000
0.0000 0.0000 3.9243
La In P
2 4 4
Direct
0.5000 0.5000 0.0000 La
0.0000 0.0000 0.0000 La
0.1486 0.6486 0.5000 In
0.8514 0.3514 0.5000 In
0.6486 0.8514 0.5000 In
0.3514 0.1486 0.5000 In
0.6488 0.1488 0.0000 P
0.1488 0.3512 0.0000 P
0.8512 0.6488 0.0000 P
0.3512 0.8512 0.0000 P
```


An optimized crystal structure of CaMg6Pb6. Source: the Alexandria database, functional PBE.

For the excess energy over the best structure of this formula in the dataset, the calculation gives 0.04 eV/f.u.

Structure (POSCAR):
```
CaMg6Pb6
1.0
-5.9599 1.7432 0.3207
1.8843 -3.8188 -4.5307
-2.0968 -8.2948 6.1194
Pb Mg Ca
6 6 1
Direct
0.6667 0.3333 0.5000 Pb
0.3333 0.6667 0.5000 Pb
0.0000 0.0000 0.3393 Pb
0.0000 0.0000 0.6607 Pb
0.6667 0.3333 0.0000 Pb
0.3333 0.6667 0.0000 Pb
0.5000 0.5000 0.2482 Mg
0.5000 0.0000 0.2482 Mg
0.5000 0.0000 0.7518 Mg
0.5000 0.5000 0.7518 Mg
0.0000 0.5000 0.2482 Mg
0.0000 0.5000 0.7518 Mg
0.0000 0.0000 0.0000 Ca
```


An optimized crystal structure of Ac2YTe2Se2. Source: the Alexandria database, functional PBE.

For the formation energy without anion corrections, the calculation gives -1.565 eV/atom.

Structure (POSCAR):
```
Ac2YTe2Se2
1.0
-4.6417 2.5459 0.4221
-2.2954 -4.4700 1.7189
5.3381 3.0545 6.8676
Se Ac Y Te
2 2 1 2
Direct
0.0000 0.5000 0.0000 Se
0.5000 0.0000 0.0000 Se
0.6245 0.6245 0.2490 Ac
0.3755 0.3755 0.7510 Ac
0.0000 0.0000 0.0000 Y
0.8188 0.8188 0.6377 Te
0.1812 0.1812 0.3623 Te
```


| no. | total energy (eV per atom) |
| --- | --- |
| 1 | -5.36 |
| 2 | -1.11 |
| 3 | -3.59 |
| 4 | -5.71 |
| 5 | -1.75 |
| 6 | -4.60 |
| 7 | -2.71 |
| 8 | -5.56 |